Here is a relaxed structure of DyZnIr2 from Alexandria via LeMat-Bulk. Energies are from PBE.

Lattice parameters (Å, degrees): 4.2249 4.2249 3.7781 90.00 90.00 90.00
Closest atoms and distances in Å follow each position.
Space group P4/mmm (No. 123)
One atom of each set of equivalent atoms:
1 Dy 0.0000 0.0000 0.0000 (multiplicity 1)  8 Ir 2.83, 4 Zn 2.99
2 Zn 0.5000 0.5000 0.0000 (multiplicity 1)  8 Ir 2.83, 4 Dy 2.99
3 Ir 0.0000 0.5000 0.5000 (multiplicity 2)  4 Dy 2.83, 4 Zn 2.83, 4 Ir 2.99

energy of formation	-0.475	eV/atom



Here is a relaxed structure of Dy7Zn2Ir2 from Alexandria via LeMat-Bulk. Energies are from PBE.

Lattice parameters (Å, degrees): 7.9227 10.7334 7.0380 90.00 90.00 90.00
Closest atoms and distances in Å follow each position.
Space group Cmmm (No. 65)
One atom of each set of equivalent atoms:
1 Dy 0.0000 0.0000 0.0000 (multiplicity 2)  2 Ir 3.10
2 Dy 0.0000 0.5000 0.2524 (multiplicity 4)  2 Ir 2.88, 2 Zn 3.15
3 Dy 0.2500 0.2500 0.2581 (multiplicity 8)  2 Ir 2.72
4 Zn 0.1694 0.0000 0.5000 (multiplicity 4)  1 Zn 2.68
5 Ir 0.0000 0.2890 0.0000 (multiplicity 4)  6 Dy 2.72-2.88

energy of formation	-0.372	eV/atom



Here is a relaxed structure of Dy2Zn3Ir2 from Alexandria via LeMat-Bulk. Energies are from PBE.

Lattice parameters (Å, degrees): 9.7501 4.1660 6.9896 90.00 111.70 90.00
Closest atoms and distances in Å follow each position.
Space group C2/m (No. 12)
One atom of each set of equivalent atoms:
1 Dy 0.1486 0.0000 0.2751 (multiplicity 4)  4 Ir 2.88-2.98, 4 Zn 3.03-3.20
2 Zn 0.0000 0.5000 0.5000 (multiplicity 2)  4 Ir 2.58, 2 Zn 2.89
3 Zn 0.1351 0.5000 0.9439 (multiplicity 4)  3 Ir 2.66-2.72, 3 Zn 2.89-2.94
4 Ir 0.1386 0.0000 0.6962 (multiplicity 4)  5 Zn 2.58-2.72, 1 Dy 2.88

energy of formation	-0.600	eV/atom



Here is a relaxed structure of Dy2ZnIr3 from Alexandria via LeMat-Bulk. Energies are from PBE.

Lattice parameters (Å, degrees): 5.5100 5.5100 8.2404 90.00 90.00 120.00
Closest atoms and distances in Å follow each position.
Space group P6_3/mmc (No. 194)
One atom of each set of equivalent atoms:
1 Dy 0.3333 0.6667 0.0626 (multiplicity 4)  9 Ir 3.02-3.16, 4 Dy 3.09-3.34, 3 Zn 3.22
2 Zn 0.0000 0.0000 0.0000 (multiplicity 2)  6 Ir 2.62
3 Ir 0.1689 0.3378 0.7500 (multiplicity 6)  2 Zn 2.62, 4 Ir 2.72-2.79

energy of formation	-0.720	eV/atom